! InSi2Rh GGA-PBE optimized geometry; values from VASP
&SYSTEM
  ibrav = 0, nat = 8, ntyp = 3
/
ATOMIC_SPECIES
In 114.82 In.upf
Si 28.09 Si.upf
Rh 102.91 Rh.upf
CELL_PARAMETERS angstrom
4.157 0.000 0.000
0.000 4.157 0.000
0.000 0.000 7.653
ATOMIC_POSITIONS angstrom
In 0.000 0.000 0.000
In 2.079 2.079 3.826
Si 0.000 2.079 1.913
Si 0.000 2.079 5.739
Si 2.079 0.000 1.913
Si 2.079 0.000 5.739
Rh 0.000 0.000 3.826
Rh 2.079 2.079 0.000
! Formation energy from raw total energies ... 205 meV per atom
! DOS at the Fermi energy ... 0.538 states/eV per atom
! SG ... I4/mmm, No. 139
! Total magnetic moment ... 0.000 Bohr magnetons per cell